1.
Material: CaFe2Si
Method: DFT, PBE-GGA
State: relaxed

Output
energy relative to the elements, uncorrected	0.29	eV per atom
E	-23.2	eV for the cell shown
magnetic moment	0.9444	μB per atom

Cell lengths 4.953, 4.953, 4.953 Å; angles 140.04, 120.83, 73.80 degrees
Element x y z (fractional)
1 Ca 0.000 0.000 0.000
2 Fe 0.303 0.803 0.500
3 Fe 0.697 0.197 0.500
4 Si 0.500 0.500 0.000

=====

2.
Material: Ca2FeSi
Method: DFT, PBE-GGA
State: relaxed

Output
energy relative to the elements, uncorrected	0.19	eV per atom
E	-17.1	eV for the cell shown
magnetic moment	0.6629	μB per atom

Cell lengths 4.601, 4.601, 4.159 Å; angles 90.00, 90.00, 90.00 degrees
Element x y z (fractional)
1 Ca 0.000 0.500 0.000
2 Ca 0.500 0.000 0.000
3 Fe 0.000 0.000 0.500
4 Si 0.500 0.500 0.500

=====

3.
Material: Ca2FeSi
Method: DFT, PBE-GGA
State: relaxed

Output
energy relative to the elements, uncorrected	0.18	eV per atom
E	-17.2	eV for the cell shown
magnetic moment	0.6443	μB per atom

Cell lengths 3.386, 3.386, 7.864 Å; angles 90.00, 90.00, 90.00 degrees
Element x y z (fractional)
1 Ca 0.000 0.000 0.245
2 Ca 0.000 0.000 0.755
3 Fe 0.500 0.500 0.500
4 Si 0.500 0.500 0.000